A relaxed Cr2TcPb crystal, computed with PBE.

a b c (Å): 8.7000 8.7000 8.7000
angles (deg): 20.46 20.46 20.46
Each line ends with the local moment (μB).
Sites, in units of the cell vectors:
Cr 0.0134 0.0134 0.0134  2.47
Cr 0.4866 0.4866 0.4866  2.47
Pb 0.2500 0.2500 0.2500  -0.03
Tc 0.7500 0.7500 0.7500  -0.90

Values from the calculation:
- Total energy: -7.682 eV/atom
- Relative energy among the computed polymorphs: 65 kJ/mol of formula units
- Energy of formation: 649 meV per atom
- M_tot: 4.33 μB/f.u.